Entry from the Alexandria database: an optimized crystal structure of Nd3SiTe (GGA-PBE).

Summary:
- total magnetic moment (Bohr magnetons per cell) = 1.0
- symmetry = C2/c
- DOS at the Fermi energy (states/eV/cell) = 17.536
- raw total energy (eV/cell) = -106.8
- crystal system = monoclinic

The structure in POSCAR format:
```
Nd3SiTe
1.0
-5.9299 -4.0763 1.6754
4.0551 -6.0570 6.6080
-2.4674 4.2240 8.5362
Si Te Nd
4 4 12
direct
0.7500 0.9118 0.0882 Si
0.2500 0.0882 0.9118 Si
0.2500 0.7452 0.2548 Si
0.7500 0.2548 0.7452 Si
0.8112 0.3490 0.1544 Te
0.3112 0.1544 0.3490 Te
0.1888 0.6510 0.8456 Te
0.6888 0.8456 0.6510 Te
0.4426 0.4673 0.3345 Nd
0.4631 0.1547 0.6404 Nd
0.5369 0.8453 0.3596 Nd
0.5404 0.1887 0.0278 Nd
0.5574 0.5327 0.6655 Nd
0.9426 0.3345 0.4673 Nd
0.0574 0.6655 0.5327 Nd
0.0404 0.0278 0.1887 Nd
0.4596 0.8113 0.9722 Nd
0.0369 0.3596 0.8453 Nd
0.9631 0.6404 0.1547 Nd
0.9596 0.9722 0.8113 Nd
```

---

Entry from the Alexandria database: an optimized crystal structure of Nd5Si2Te2 (GGA-PBE).

Summary:
- total magnetic moment (Bohr magnetons per cell) = 0.0
- symmetry = Cmce
- DOS at the Fermi energy (states/eV/cell) = 17.402
- raw total energy (eV/cell) = -100.4
- crystal system = orthorhombic

The structure in POSCAR format:
```
Nd5Si2Te2
1.0
-0.9162 4.4634 6.6205
-6.4865 -4.3507 2.0355
4.1289 -2.7415 7.2979
Nd Si Te
10 4 4
direct
0.7010 0.3278 0.2533 Nd
0.0000 0.0000 0.0000 Nd
0.4543 0.1722 0.7467 Nd
0.2990 0.6722 0.7467 Nd
0.7990 0.8278 0.7467 Nd
0.9543 0.3278 0.7467 Nd
0.2010 0.1722 0.2533 Nd
0.5457 0.8278 0.2533 Nd
0.0457 0.6722 0.2533 Nd
0.5000 0.5000 0.0000 Nd
0.6186 0.1178 0.0000 Si
0.8814 0.6178 0.0000 Si
0.1186 0.3822 0.0000 Si
0.3814 0.8822 0.0000 Si
0.7064 0.5000 0.5873 Te
0.2064 0.0000 0.5873 Te
0.2936 0.5000 0.4127 Te
0.7936 0.0000 0.4127 Te
```